Below is ZnPt2Rh at its PBEsol-relaxed geometry, with properties calculated at the meta-GGA SCAN level.

Output
- D(E_F) (states/eV/cell) = 4.71
- calculated total energy (eV/atom) = -47.2732
- DFT formation energy (eV per atom) = -0.355

Unit cell a=5.482 b=7.519 c=2.733 alpha=90.00 beta=90.00 gamma=90.00
Space group Cmmm (No. 65)
One atom of each set of equivalent atoms:
1 Zn 0.000 0.000 0.000 (multiplicity 2)
2 Pt 0.250 0.250 0.500 (multiplicity 4)
3 Rh 0.000 0.500 0.000 (multiplicity 2)